1.
# Sc2PaIn, optimized geometry, DFT GGA-PBE
# DFT formation energy in eV per atom: 0.04
data_Sc2PaIn
_cell_length_a 7.202
_cell_length_b 7.202
_cell_length_c 7.202
_cell_angle_alpha 90.00
_cell_angle_beta 90.00
_cell_angle_gamma 90.00
_symmetry_space_group_name_H-M 'F m -3 m'
_symmetry_Int_Tables_number 225
_symmetry_space_group_name_Hall '-F 4 2 3'
loop_
_atom_site_label
_atom_site_type_symbol
_atom_site_fract_x
_atom_site_fract_y
_atom_site_fract_z
Sc1 Sc 0.250 0.250 0.250
Pa1 Pa 0.000 0.000 0.000
In1 In 0.000 0.000 0.500

2.
# PmTcGe, optimized geometry, DFT GGA-PBE
# DFT formation energy in eV per atom: -0.28
data_PmTcGe
_cell_length_a 7.3851
_cell_length_b 7.3851
_cell_length_c 12.3263
_cell_angle_alpha 90.00
_cell_angle_beta 90.00
_cell_angle_gamma 120.00
_symmetry_space_group_name_H-M 'R 3 2'
_symmetry_Int_Tables_number 155
_symmetry_space_group_name_Hall 'R 3 2"'
loop_
_atom_site_label
_atom_site_type_symbol
_atom_site_fract_x
_atom_site_fract_y
_atom_site_fract_z
Pm1 Pm 0.0000 0.3784 0.0000
Tc1 Tc 0.0000 0.0000 0.0999
Tc2 Tc 0.0000 0.0000 0.5000
Ge1 Ge 0.0000 0.6471 0.5000

| no. | polymorph energy (0 for the lowest one) (eV per atom) | ρ (g/cm3) |
| --- | --- | --- |
| 1 | 0.2183 | 7.7 |
| 2 | 0.1792 | 8.1 |